# PrYCr2O8 PBE+U relaxed
# E_tot ... -7.7807 eV/atom
# Density of states at the Fermi level ... 0.081 states/eV per atom
# Spin magnetization ... 4.00 Bohr magnetons per cell
data_PrYCr2O8
_chemical_formula_sum 'Pr2 Y2 Cr4 O16'
_cell_length_a 7.361
_cell_length_b 7.361
_cell_length_c 6.388
_cell_angle_alpha 90.00
_cell_angle_beta 90.00
_cell_angle_gamma 90.00
_symmetry_space_group_name_H-M 'I -4 m 2'
_symmetry_Int_Tables_number 119
_symmetry_space_group_name_Hall 'I -4 -2'
loop_
_atom_site_label
_atom_site_type_symbol
_atom_site_fract_x
_atom_site_fract_y
_atom_site_fract_z
_atom_site_occupancy
Pr1 Pr 0.000 0.000 0.000 1
Y1 Y 0.000 0.500 0.750 1
Cr1 Cr 0.000 0.000 0.500 1
Cr2 Cr 0.000 0.500 0.250 1
O1 O 0.000 0.185 0.667 1
O2 O 0.000 0.322 0.075 1